# 1
Below is crystalline CsRb2LiHg at its relaxed geometry, with properties calculated at the PBE level.

ΔH_f (0 K)	0.027	eV/atom
space-group type	P4/mmm, No. 123
E above lowest polymorph	4.0	kJ per mole of atoms
DOS at the Fermi energy	3.96	states/eV per cell

```
CsRb2LiHg
1.0
7.331 0.000 0.000
0.000 7.331 0.000
0.000 0.000 5.565
Cs Rb Li Hg
1 2 1 1
direct
0.000 0.000 0.000 Cs
0.000 0.500 0.500 Rb
0.500 0.000 0.500 Rb
0.500 0.500 0.500 Li
0.500 0.500 0.000 Hg
```

# 2
Below is crystalline Cs2LiReHg at its relaxed geometry, with properties calculated at the PBE level.

ΔH_f (0 K)	1.290	eV/atom
space-group type	P4/mmm, No. 123
DOS at the Fermi energy	7.03	states/eV per cell

```
Cs2LiReHg
1.0
6.999 0.000 0.000
0.000 6.999 0.000
0.000 0.000 5.213
Cs Li Re Hg
2 1 1 1
direct
0.000 0.500 0.000 Cs
0.500 0.000 0.000 Cs
0.000 0.000 0.500 Li
0.500 0.500 0.500 Re
0.000 0.000 0.000 Hg
```

# 3
Below is crystalline CsLiHg2Rh at its relaxed geometry, with properties calculated at the PBE level.

ΔH_f (0 K)	-0.094	eV/atom
space-group type	P4/mmm, No. 123
DOS at the Fermi energy	2.01	states/eV per cell

```
CsLiHg2Rh
1.0
5.414 0.000 0.000
0.000 5.414 0.000
0.000 0.000 4.990
Cs Li Hg Rh
1 1 2 1
direct
0.000 0.000 0.000 Cs
0.500 0.500 0.000 Li
0.000 0.500 0.500 Hg
0.500 0.000 0.500 Hg
0.500 0.500 0.500 Rh
```